{
  "formula": "CsIn2HgIr",
  "functional": "GGA-PBE",
  "state": "optimized geometry",
  "cell": [[5.2475, 0.0000, 0.0000], [0.0000, 5.2475, 0.0000], [0.0000, 0.0000, 5.5329]],
  "species": ["In", "In", "Cs", "Hg", "Ir"],
  "frac_coords": [[0.5000, 0.0000, 0.0000], [0.0000, 0.5000, 0.0000], [0.5000, 0.5000, 0.5000], [0.0000, 0.0000, 0.5000], [0.0000, 0.0000, 0.0000]],
  "magmom_total_mub_per_cell": 0.00,
  "total_energy_ev_per_atom": -3.272,
  "ef_ev_per_atom": -0.173,
  "vol_a3_per_atom": 30.5,
  "sg": "No. 123"
}